# 1
# KYGe (PBE-GGA, optimized geometry)
# distance to the lowest polymorph of the same formula: 48.6 kJ per mole of atoms
# magnetization: 0.00 Bohr magnetons per cell
# energy of formation from the pure elements: 0.4 eV/f.u.
data_KYGe
_chemical_formula_sum 'K4 Y4 Ge4'
_space_group_name_H-M_alt 'C m c m'
_space_group_IT_number 63
_space_group_name_Hall '-C 2c 2'
_cell_length_a 5.484
_cell_length_b 8.710
_cell_length_c 7.188
_cell_angle_alpha 90.00
_cell_angle_beta 90.00
_cell_angle_gamma 90.00
loop_
_atom_site_label
_atom_site_fract_x
_atom_site_fract_y
_atom_site_fract_z
_atom_site_occupancy
K1 0.000 0.157 0.250 1
Y1 0.000 0.500 0.000 1
Ge1 0.000 0.191 0.750 1


# 2
# KYGe (PBE-GGA, optimized geometry)
# distance to the lowest polymorph of the same formula: 14.1 kJ per mole of atoms
# magnetization: 0.00 Bohr magnetons per cell
# energy of formation from the pure elements: -0.7 eV/f.u.
data_KYGe
_chemical_formula_sum 'K4 Y4 Ge4'
_space_group_name_H-M_alt 'C m c m'
_space_group_IT_number 63
_space_group_name_Hall '-C 2c 2'
_cell_length_a 4.069
_cell_length_b 13.251
_cell_length_c 7.958
_cell_angle_alpha 90.00
_cell_angle_beta 90.00
_cell_angle_gamma 90.00
loop_
_atom_site_label
_atom_site_fract_x
_atom_site_fract_y
_atom_site_fract_z
_atom_site_occupancy
K1 0.000 0.233 0.250 1
Y1 0.000 0.500 0.000 1
Ge1 0.000 0.045 0.750 1


# 3
# KYGe (PBE-GGA, optimized geometry)
# distance to the lowest polymorph of the same formula: 126.3 kJ per mole of atoms
# magnetization: 0.51 Bohr magnetons per cell
# energy of formation from the pure elements: 2.8 eV/f.u.
data_KYGe
_chemical_formula_sum 'K2 Y2 Ge2'
_space_group_name_H-M_alt 'P 63/m m c'
_space_group_IT_number 194
_space_group_name_Hall '-P 6c 2c'
_cell_length_a 6.8813
_cell_length_b 6.8813
_cell_length_c 10.5955
_cell_angle_alpha 90.00
_cell_angle_beta 90.00
_cell_angle_gamma 120.00
loop_
_atom_site_label
_atom_site_fract_x
_atom_site_fract_y
_atom_site_fract_z
_atom_site_occupancy
K1 0.3333 0.6667 0.2500 1
Y1 0.0000 0.0000 0.2500 1
Ge1 0.0000 0.0000 0.0000 1


# 4
# KYGe (PBE-GGA, optimized geometry)
# distance to the lowest polymorph of the same formula: 16.4 kJ per mole of atoms
# magnetization: 1.47 Bohr magnetons per cell
# energy of formation from the pure elements: -0.6 eV/f.u.
data_KYGe
_chemical_formula_sum 'K4 Y4 Ge4'
_space_group_name_H-M_alt 'C 1 2/m 1'
_space_group_IT_number 12
_cell_length_a 9.205
_cell_length_b 6.818
_cell_length_c 7.539
_cell_angle_alpha 90.00
_cell_angle_beta 123.59
_cell_angle_gamma 90.00
loop_
_space_group_symop_operation_xyz
'x,y,z'
'-x,-y,-z'
'-x,y,-z'
'x,-y,z'
'x+1/2,y+1/2,z'
'-x+1/2,-y+1/2,-z'
'-x+1/2,y+1/2,-z'
'x+1/2,-y+1/2,z'
loop_
_atom_site_label
_atom_site_fract_x
_atom_site_fract_y
_atom_site_fract_z
_atom_site_occupancy
K1 0.187 0.000 0.007 1
Y1 0.180 0.500 0.404 1
Ge1 0.000 0.209 0.500 1


# 5
# KYGe (PBE-GGA, optimized geometry)
# distance to the lowest polymorph of the same formula: 11.5 kJ per mole of atoms
# magnetization: 0.00 Bohr magnetons per cell
# energy of formation from the pure elements: -0.8 eV/f.u.
data_KYGe
_chemical_formula_sum 'K4 Y4 Ge4'
_space_group_name_H-M_alt 'C 1 m 1'
_space_group_IT_number 8
_cell_length_a 8.554
_cell_length_b 4.942
_cell_length_c 11.000
_cell_angle_alpha 90.00
_cell_angle_beta 104.99
_cell_angle_gamma 90.00
loop_
_space_group_symop_operation_xyz
'x,y,z'
'x,-y,z'
'x+1/2,y+1/2,z'
'x+1/2,-y+1/2,z'
loop_
_atom_site_label
_atom_site_fract_x
_atom_site_fract_y
_atom_site_fract_z
_atom_site_occupancy
K1 0.000 0.000 0.000 1
K2 0.059 0.500 0.681 1
Y1 0.140 0.000 0.422 1
Y2 0.245 0.500 0.238 1
Ge1 0.335 0.500 0.507 1
Ge2 0.409 0.000 0.228 1


# 6
# KYGe (PBE-GGA, optimized geometry)
# distance to the lowest polymorph of the same formula: 37.0 kJ per mole of atoms
# magnetization: 0.00 Bohr magnetons per cell
# energy of formation from the pure elements: 0.0 eV/f.u.
data_KYGe
_chemical_formula_sum 'K4 Y4 Ge4'
_space_group_name_H-M_alt 'F -4 3 m'
_space_group_IT_number 216
_space_group_name_Hall 'F -4 2 3'
_cell_length_a 7.334
_cell_length_b 7.334
_cell_length_c 7.334
_cell_angle_alpha 90.00
_cell_angle_beta 90.00
_cell_angle_gamma 90.00
loop_
_atom_site_label
_atom_site_fract_x
_atom_site_fract_y
_atom_site_fract_z
_atom_site_occupancy
K1 0.000 0.000 0.000 1
Y1 0.000 0.000 0.500 1
Ge1 0.250 0.250 0.750 1


# 7
# KYGe (PBE-GGA, optimized geometry)
# distance to the lowest polymorph of the same formula: 6.2 kJ per mole of atoms
# magnetization: 0.00 Bohr magnetons per cell
# energy of formation from the pure elements: -1.0 eV/f.u.
data_KYGe
_chemical_formula_sum 'K4 Y4 Ge4'
_space_group_name_H-M_alt 'P n m a'
_space_group_IT_number 62
_cell_length_a 8.933
_cell_length_b 5.063
_cell_length_c 8.179
_cell_angle_alpha 90.00
_cell_angle_beta 90.00
_cell_angle_gamma 90.00
loop_
_space_group_symop_operation_xyz
'x,y,z'
'-x,-y,-z'
'-x+1/2,-y,z+1/2'
'x+1/2,y,-z+1/2'
'x+1/2,-y+1/2,-z+1/2'
'-x+1/2,y+1/2,z+1/2'
'-x,y+1/2,-z'
'x,-y+1/2,z'
loop_
_atom_site_label
_atom_site_fract_x
_atom_site_fract_y
_atom_site_fract_z
_atom_site_occupancy
K1 0.015 0.250 0.149 1
Y1 0.145 0.250 0.581 1
Ge1 0.181 0.750 0.391 1


# 8
# KYGe (PBE-GGA, optimized geometry)
# distance to the lowest polymorph of the same formula: 4.7 kJ per mole of atoms
# magnetization: 0.00 Bohr magnetons per cell
# energy of formation from the pure elements: -1.0 eV/f.u.
data_KYGe
_chemical_formula_sum 'K2 Y2 Ge2'
_space_group_name_H-M_alt 'P 4/n m m'
_space_group_IT_number 129
_cell_length_a 5.263
_cell_length_b 5.263
_cell_length_c 7.619
_cell_angle_alpha 90.00
_cell_angle_beta 90.00
_cell_angle_gamma 90.00
loop_
_space_group_symop_operation_xyz
'x,y,z'
'-x,-y,-z'
'-y+1/2,x,z'
'y+1/2,-x,-z'
'-x+1/2,-y+1/2,z'
'x+1/2,y+1/2,-z'
'y,-x+1/2,z'
'-y,x+1/2,-z'
'x+1/2,-y,-z'
'-x+1/2,y,z'
'-y,-x,-z'
'y,x,z'
'-x,y+1/2,-z'
'x,-y+1/2,z'
'y+1/2,x+1/2,-z'
'-y+1/2,-x+1/2,z'
loop_
_atom_site_label
_atom_site_fract_x
_atom_site_fract_y
_atom_site_fract_z
_atom_site_occupancy
K1 0.250 0.750 0.000 1
Y1 0.250 0.750 0.500 1
Ge1 0.250 0.250 0.326 1


# 9
# KYGe (PBE-GGA, optimized geometry)
# distance to the lowest polymorph of the same formula: 16.1 kJ per mole of atoms
# magnetization: 0.00 Bohr magnetons per cell
# energy of formation from the pure elements: -0.6 eV/f.u.
data_KYGe
_chemical_formula_sum 'K2 Y2 Ge2'
_space_group_name_H-M_alt 'P 63/m m c'
_space_group_IT_number 194
_space_group_name_Hall '-P 6c 2c'
_cell_length_a 5.4203
_cell_length_b 5.4203
_cell_length_c 6.2954
_cell_angle_alpha 90.00
_cell_angle_beta 90.00
_cell_angle_gamma 120.00
loop_
_atom_site_label
_atom_site_fract_x
_atom_site_fract_y
_atom_site_fract_z
_atom_site_occupancy
K1 0.0000 0.0000 0.0000 1
Y1 0.3333 0.6667 0.2500 1
Ge1 0.3333 0.6667 0.7500 1


# 10
# K3ZnGe (PBE-GGA, optimized geometry)
# distance to the lowest polymorph of the same formula: 0.0 kJ per mole of atoms
# magnetization: 0.00 Bohr magnetons per cell
# energy of formation from the pure elements: 0.4 eV/f.u.
data_K3ZnGe
_chemical_formula_sum 'K12 Zn4 Ge4'
_space_group_name_H-M_alt 'C 1 2/m 1'
_space_group_IT_number 12
_cell_length_a 11.371
_cell_length_b 10.435
_cell_length_c 8.455
_cell_angle_alpha 90.00
_cell_angle_beta 125.43
_cell_angle_gamma 90.00
loop_
_space_group_symop_operation_xyz
'x,y,z'
'-x,-y,-z'
'-x,y,-z'
'x,-y,z'
'x+1/2,y+1/2,z'
'-x+1/2,-y+1/2,-z'
'-x+1/2,y+1/2,-z'
'x+1/2,-y+1/2,z'
loop_
_atom_site_label
_atom_site_fract_x
_atom_site_fract_y
_atom_site_fract_z
_atom_site_occupancy
K1 0.033 0.000 0.252 1
K2 0.219 0.302 0.230 1
Zn1 0.161 0.500 0.825 1
Ge1 0.101 0.500 0.467 1


# 11
# KZn4Ge2 (PBE-GGA, optimized geometry)
# magnetization: 0.00 Bohr magnetons per cell
# energy of formation from the pure elements: 0.2 eV/f.u.
data_KZn4Ge2
_chemical_formula_sum 'K2 Zn8 Ge4'
_space_group_name_H-M_alt 'P 42/m n m'
_space_group_IT_number 136
_space_group_name_Hall '-P 4n 2n'
_cell_length_a 8.186
_cell_length_b 8.186
_cell_length_c 4.161
_cell_angle_alpha 90.00
_cell_angle_beta 90.00
_cell_angle_gamma 90.00
loop_
_atom_site_label
_atom_site_fract_x
_atom_site_fract_y
_atom_site_fract_z
_atom_site_occupancy
K1 0.000 0.000 0.000 1
Zn1 0.077 0.329 0.500 1
Ge1 0.223 0.777 0.500 1


# 12
# K3ZnGe (PBE-GGA, optimized geometry)
# distance to the lowest polymorph of the same formula: 22.4 kJ per mole of atoms
# magnetization: 1.00 Bohr magnetons per cell
# energy of formation from the pure elements: 1.5 eV/f.u.
data_K3ZnGe
_chemical_formula_sum 'K3 Zn1 Ge1'
_space_group_name_H-M_alt 'P m -3 m'
_space_group_IT_number 221
_space_group_name_Hall '-P 4 2 3'
_cell_length_a 6.550
_cell_length_b 6.550
_cell_length_c 6.550
_cell_angle_alpha 90.00
_cell_angle_beta 90.00
_cell_angle_gamma 90.00
loop_
_atom_site_label
_atom_site_fract_x
_atom_site_fract_y
_atom_site_fract_z
_atom_site_occupancy
K1 0.000 0.000 0.500 1
Zn1 0.500 0.500 0.500 1
Ge1 0.000 0.000 0.000 1


# 13
# K2ZnGe (PBE-GGA, optimized geometry)
# magnetization: 7.99 Bohr magnetons per cell
# energy of formation from the pure elements: 1.2 eV/f.u.
data_K2ZnGe
_chemical_formula_sum 'K8 Zn4 Ge4'
_space_group_name_H-M_alt 'F m -3 m'
_space_group_IT_number 225
_space_group_name_Hall '-F 4 2 3'
_cell_length_a 8.232
_cell_length_b 8.232
_cell_length_c 8.232
_cell_angle_alpha 90.00
_cell_angle_beta 90.00
_cell_angle_gamma 90.00
loop_
_atom_site_label
_atom_site_fract_x
_atom_site_fract_y
_atom_site_fract_z
_atom_site_occupancy
K1 0.250 0.250 0.250 1
Zn1 0.000 0.000 0.000 1
Ge1 0.000 0.000 0.500 1